# TlZn2Hg, single point on PBEsol structure, DFT SCAN
data_TlZn2Hg
_cell_length_a 3.3078
_cell_length_b 3.3078
_cell_length_c 25.8088
_cell_angle_alpha 90.00
_cell_angle_beta 90.00
_cell_angle_gamma 120.00
_space_group_name_H-M_alt 'R 3 m'
_space_group_IT_number 160
_space_group_name_Hall 'R 3 -2"'
loop_
_atom_site_label
_atom_site_type_symbol
_atom_site_fract_x
_atom_site_fract_y
_atom_site_fract_z
_atom_site_occupancy
Tl1 Tl 0.0000 0.0000 0.0000 1
Zn1 Zn 0.0000 0.0000 0.2452 1
Zn2 Zn 0.0000 0.0000 0.5116 1
Hg1 Hg 0.0000 0.0000 0.7662 1
# Energy above the most stable polymorph in this dataset: 3 meV/atom
# ΔH_f (0 K): 0.6 eV per formula unit
# Calculated total energy: -41.727 eV per atom
# Fermi-level density of states: 0.356 states/eV/atom